No. 1
## CuW2Cl (meta-GGA SCAN)

Data for a crystal of CuW2Cl relaxed with PBEsol.

POSCAR file:
```
CuW2Cl
1.0
-2.063 2.063 3.510
2.063 -2.063 3.510
2.063 2.063 -3.510
Cu W Cl
1 2 1
Direct
0.000 0.000 0.000 Cu
0.500 0.500 0.000 W
0.750 0.250 0.500 W
0.250 0.750 0.500 Cl
```

Output
- Space group: No. 119
- M_tot: 0.00 Bohr magnetons per cell
- Excess energy over the best structure of this formula in the dataset: 0.000 eV/atom

=====

No. 2
## CuWCl2 (meta-GGA SCAN)

Data for a crystal of CuWCl2 relaxed with PBEsol.

POSCAR file:
```
CuWCl2
1.0
2.930 0.000 0.000
0.000 2.930 0.000
0.000 0.000 7.592
Cu W Cl
1 1 2
Direct
0.000 0.000 0.000 Cu
0.500 0.500 0.230 W
0.000 0.000 0.427 Cl
0.500 0.500 0.812 Cl
```

Output
- Space group: No. 99
- M_tot: 0.00 Bohr magnetons per cell
- Excess energy over the best structure of this formula in the dataset: 0.000 eV/atom